(1)
Computed, not measured: a geometry-optimized Na4CuAs2O8 structure at the PBE level of DFT.

Geometry as CIF:
```
data_Na4CuAs2O8
_chemical_formula_sum 'Na4 Cu1 As2 O8'
_cell_length_a 4.943
_cell_length_b 6.006
_cell_length_c 7.044
_cell_angle_alpha 98.32
_cell_angle_beta 91.18
_cell_angle_gamma 105.76
_space_group_name_H-M_alt 'P 1'
_space_group_IT_number 1
_space_group_name_Hall 'P 1'
loop_
_atom_site_label
_atom_site_fract_x
_atom_site_fract_y
_atom_site_fract_z
Na1 0.286 0.571 0.167
Na2 0.714 0.429 0.833
Na3 0.163 0.261 0.575
Na4 0.837 0.739 0.425
Cu1 0.000 0.000 0.000
As1 0.398 0.801 0.735
As2 0.602 0.199 0.265
O1 0.688 0.276 0.507
O2 0.237 0.150 0.238
O3 0.236 0.566 0.844
O4 0.763 0.850 0.762
O5 0.764 0.434 0.156
O6 0.684 0.942 0.169
O7 0.316 0.058 0.831
O8 0.312 0.724 0.493
```

Symmetry = P-1
Total DFT energy (no corrections) = -80.56 eV/cell
E_form (uncorrected) = -1.48 eV per atom

(2)
Computed, not measured: a geometry-optimized CeMnRu structure at the PBE level of DFT.

Geometry as CIF:
```
data_CeMnRu
_chemical_formula_sum 'Ce2 Mn2 Ru2'
_cell_length_a 5.262
_cell_length_b 5.262
_cell_length_c 5.262
_cell_angle_alpha 92.06
_cell_angle_beta 115.87
_cell_angle_gamma 121.85
_space_group_name_H-M_alt 'P 1'
_space_group_IT_number 1
_space_group_name_Hall 'P 1'
loop_
_atom_site_label
_atom_site_fract_x
_atom_site_fract_y
_atom_site_fract_z
Ce1 0.250 0.128 0.378
Ce2 0.750 0.872 0.622
Mn1 0.500 0.000 0.000
Mn2 0.000 0.500 0.000
Ru1 0.000 0.500 0.500
Ru2 0.500 0.500 0.000
```

DOS at the Fermi energy = 1.408 states/eV/atom
Symmetry = Imma
Total DFT energy (no corrections) = -49.92 eV/cell
Energy of formation = -0.194 eV per atom